28
Lattice="6.859 0.000 0.000 0.000 12.047 0.000 0.000 0.000 5.926" Properties=species:S:1:pos:R:3 comment="Cr2CuS4, optimized geometry, DFT PBE" raw_formation_energy_ev_per_atom=-0.46 n_ef_per_ev_atom=0.6477 m_tot_mub_per_fu=5.05 final_energy_ev_per_atom=-6.16 de_polymorph_kj_per_mol_atoms=16.5 pbc="T T T"
Cr 0.000 0.000 0.000
Cr 0.000 6.024 0.000
Cr 1.715 0.093 2.958
Cr 1.715 5.931 2.958
Cr 3.429 0.000 0.000
Cr 3.429 6.024 0.000
Cr 5.144 6.116 2.968
Cr 5.144 11.955 2.968
Cu 1.715 3.012 0.650
Cu 1.715 9.035 2.728
Cu 5.144 3.012 3.198
Cu 5.144 9.035 5.276
S 0.003 1.370 1.973
S 0.003 4.654 1.973
S 6.856 7.393 3.954
S 6.856 10.677 3.954
S 1.715 1.311 5.004
S 1.715 4.712 5.004
S 1.715 7.320 1.050
S 1.715 10.751 1.050
S 3.426 1.370 1.973
S 3.426 4.654 1.973
S 3.432 7.393 3.954
S 3.432 10.677 3.954
S 5.144 1.297 4.877
S 5.144 4.727 4.877
S 5.144 7.335 0.922
S 5.144 10.736 0.922


5
Lattice="4.128 0.000 0.000 0.000 4.128 0.000 0.000 0.000 4.128" Properties=species:S:1:pos:R:3 comment="Cr3CuS, optimized geometry, DFT PBE" raw_formation_energy_ev_per_atom=0.60 n_ef_per_ev_atom=1.7502 m_tot_mub_per_fu=0.87 final_energy_ev_per_atom=-6.82 de_polymorph_kj_per_mol_atoms=0.0 pbc="T T T"
Cr 0.000 0.000 2.064
Cr 0.000 2.064 0.000
Cr 2.064 0.000 0.000
Cu 2.064 2.064 2.064
S 0.000 0.000 0.000


5
Lattice="3.324 1.919 2.826 -3.324 1.919 2.826 0.000 -3.838 2.826" Properties=species:S:1:pos:R:3 comment="CrCuS3, optimized geometry, DFT PBE" raw_formation_energy_ev_per_atom=0.04 n_ef_per_ev_atom=0.6920 m_tot_mub_per_fu=1.17 final_energy_ev_per_atom=-5.18 de_polymorph_kj_per_mol_atoms=0.0 pbc="T T T"
Cr 0.000 0.000 0.000
Cu 0.000 0.000 5.426
S -1.629 -0.940 6.596
S 1.629 -0.940 6.596
S 0.000 1.881 6.596


13
Lattice="0.000 4.679 4.679 4.679 0.000 4.679 4.679 4.679 0.000" Properties=species:S:1:pos:R:3 comment="Cr4CuS8, optimized geometry, DFT PBE" raw_formation_energy_ev_per_atom=-0.58 n_ef_per_ev_atom=0.4759 m_tot_mub_per_fu=2.43 final_energy_ev_per_atom=-6.39 pbc="T T T"
Cr 0.976 0.976 0.976
Cr 3.703 3.703 0.976
Cr 3.703 0.976 3.703
Cr 0.976 3.703 3.703
Cu 4.679 4.679 4.679
S 3.392 3.392 3.392
S 5.966 5.966 3.392
S 5.966 3.392 5.966
S 8.135 5.902 5.902
S 5.902 8.135 5.902
S 5.902 5.902 8.135
S 8.135 8.135 8.135
S 3.392 5.966 5.966


5
Lattice="4.499 0.000 0.000 0.000 4.499 0.000 0.000 0.000 4.499" Properties=species:S:1:pos:R:3 comment="CrCuS3, optimized geometry, DFT PBE" raw_formation_energy_ev_per_atom=0.40 n_ef_per_ev_atom=0.8343 m_tot_mub_per_fu=1.50 final_energy_ev_per_atom=-4.82 de_polymorph_kj_per_mol_atoms=34.2 pbc="T T T"
Cr 0.000 0.000 0.000
Cu 2.249 2.249 2.249
S 0.000 0.000 2.249
S 0.000 2.249 0.000
S 2.249 0.000 0.000


14
Lattice="3.516 2.030 5.933 -3.516 2.030 5.933 0.000 -4.060 5.933" Properties=species:S:1:pos:R:3 comment="Cr3Cu2SbS8, optimized geometry, DFT PBE" raw_formation_energy_ev_per_atom=-0.54 n_ef_per_ev_atom=0.4841 m_tot_mub_per_fu=7.99 final_energy_ev_per_atom=-5.84 pbc="T T T"
Cr -1.758 -1.015 5.933
Cr -1.758 1.015 11.866
Cr 0.000 2.030 5.933
Cu 0.000 0.000 2.325
Cu 0.000 0.000 15.473
Sb 0.000 0.000 8.899
S 0.000 -1.976 7.256
S -1.712 0.988 7.256
S 0.000 0.000 4.618
S -1.712 -0.988 10.543
S 1.712 0.988 7.256
S 0.000 0.000 13.181
S 1.712 -0.988 10.543
S 0.000 1.976 10.543


5
Lattice="4.891 0.000 0.000 0.000 4.891 0.000 0.000 0.000 4.192" Properties=species:S:1:pos:R:3 comment="Sc2CrCuS, optimized geometry, DFT PBE" raw_formation_energy_ev_per_atom=0.14 n_ef_per_ev_atom=0.4780 m_tot_mub_per_fu=0.00 final_energy_ev_per_atom=-5.96 pbc="T T T"
Sc 0.000 2.446 0.000
Sc 2.446 0.000 0.000
Cr 0.000 0.000 0.000
Cu 2.446 2.446 2.096
S 0.000 0.000 2.096


4
Lattice="1.760 1.016 6.709 -1.760 1.016 6.709 0.000 -2.032 6.709" Properties=species:S:1:pos:R:3 comment="CrCuSeS, optimized geometry, DFT PBE" raw_formation_energy_ev_per_atom=-0.24 n_ef_per_ev_atom=0.4861 m_tot_mub_per_fu=3.00 final_energy_ev_per_atom=-5.57 pbc="T T T"
Cr 0.000 0.000 0.000
Cu 0.000 0.000 10.173
Se 0.000 0.000 4.936
S 0.000 0.000 7.982


5
Lattice="5.943 0.000 0.000 0.000 5.943 0.000 0.000 0.000 4.331" Properties=species:S:1:pos:R:3 comment="Sr2CrCuS, optimized geometry, DFT PBE" raw_formation_energy_ev_per_atom=0.11 n_ef_per_ev_atom=0.4463 m_tot_mub_per_fu=2.83 final_energy_ev_per_atom=-4.13 pbc="T T T"
Sr 0.000 2.971 0.000
Sr 2.971 0.000 0.000
Cr 0.000 0.000 0.000
Cu 2.971 2.971 2.165
S 0.000 0.000 2.165


5
Lattice="4.770 0.000 0.000 0.000 4.770 0.000 0.000 0.000 3.957" Properties=species:S:1:pos:R:3 comment="Ta2CrCuS, optimized geometry, DFT PBE" raw_formation_energy_ev_per_atom=1.50 n_ef_per_ev_atom=0.7316 m_tot_mub_per_fu=0.00 final_energy_ev_per_atom=-6.81 pbc="T T T"
Ta 0.000 2.385 0.000
Ta 2.385 0.000 0.000
Cr 0.000 0.000 1.979
Cu 2.385 2.385 0.000
S 2.385 2.385 1.979


4
Lattice="4.059 0.000 0.000 -2.030 3.515 0.000 0.000 0.000 6.088" Properties=species:S:1:pos:R:3 comment="CrCuTeS, optimized geometry, DFT PBE" raw_formation_energy_ev_per_atom=-0.22 n_ef_per_ev_atom=0.4800 m_tot_mub_per_fu=3.15 final_energy_ev_per_atom=-5.47 pbc="T T T"
Cr 0.000 0.000 0.000
Cu 0.000 2.343 4.362
Te 0.000 0.000 3.346
S 0.000 2.343 0.508


10
Lattice="7.270 0.000 0.000 0.000 4.574 0.000 -1.195 0.000 6.830" Properties=species:S:1:pos:R:3 comment="TlCrCuS2, optimized geometry, DFT PBE" raw_formation_energy_ev_per_atom=-0.30 n_ef_per_ev_atom=0.3341 m_tot_mub_per_fu=4.01 final_energy_ev_per_atom=-5.17 pbc="T T T"
Tl -0.299 0.783 1.707
Tl -0.896 3.791 5.122
Cr 3.336 2.283 1.707
Cr 2.738 2.291 5.122
Cu 3.635 0.000 0.000
Cu 3.037 0.000 3.415
S 0.937 1.575 6.566
S 1.535 2.998 3.151
S 4.540 1.575 3.679
S 5.137 2.998 0.264


5
Lattice="4.474 0.000 0.000 0.000 4.474 0.000 0.000 0.000 4.559" Properties=species:S:1:pos:R:3 comment="TlCrCu2S, optimized geometry, DFT PBE" raw_formation_energy_ev_per_atom=0.26 n_ef_per_ev_atom=0.4070 m_tot_mub_per_fu=3.32 final_energy_ev_per_atom=-4.60 de_polymorph_kj_per_mol_atoms=0.0 pbc="T T T"
Tl 0.000 0.000 0.000
Cr 2.237 2.237 0.000
Cu 0.000 2.237 2.279
Cu 2.237 0.000 2.279
S 2.237 2.237 2.279


5
Lattice="4.840 0.000 0.000 0.000 4.840 0.000 0.000 0.000 5.400" Properties=species:S:1:pos:R:3 comment="TlCrCu2S, optimized geometry, DFT PBE" raw_formation_energy_ev_per_atom=1.17 n_ef_per_ev_atom=0.7400 m_tot_mub_per_fu=4.68 final_energy_ev_per_atom=-3.69 de_polymorph_kj_per_mol_atoms=87.4 pbc="T T T"
Tl 0.000 0.000 0.000
Cr 2.420 2.420 2.700
Cu 0.000 2.420 0.000
Cu 2.420 0.000 0.000
S 0.000 0.000 2.700


11
Lattice="2.802 -5.426 0.000 2.802 5.426 0.000 -2.425 0.000 7.393" Properties=species:S:1:pos:R:3 comment="Tl2Cr2CuS6, optimized geometry, DFT PBE" raw_formation_energy_ev_per_atom=-0.32 n_ef_per_ev_atom=0.5354 m_tot_mub_per_fu=0.01 final_energy_ev_per_atom=-5.12 pbc="T T T"
Tl 2.802 3.791 0.000
Tl 2.802 -3.791 0.000
Cr 1.589 2.119 3.697
Cr 1.589 -2.119 3.697
Cu -1.212 0.000 3.697
S -0.248 1.861 5.075
S 0.715 0.000 2.546
S -0.248 -1.861 5.075
S 3.426 1.861 2.318
S 2.464 0.000 4.847
S 3.426 -1.861 2.318


9
Lattice="6.029 0.000 0.000 -3.015 5.222 0.000 0.000 0.000 5.731" Properties=species:S:1:pos:R:3 comment="UCrCuS6, optimized geometry, DFT PBE" raw_formation_energy_ev_per_atom=-0.51 n_ef_per_ev_atom=0.9459 m_tot_mub_per_fu=1.70 final_energy_ev_per_atom=-6.04 pbc="T T T"
U 0.000 0.000 0.000
Cr 0.000 3.481 2.866
Cu 3.015 1.741 2.866
S -0.981 1.808 4.190
S -1.939 3.468 1.541
S 0.981 1.808 1.541
S -0.958 5.167 4.190
S 1.939 3.468 4.190
S 0.958 5.167 1.541


7
Lattice="5.926 0.000 0.000 0.000 3.576 0.000 -0.240 0.000 6.078" Properties=species:S:1:pos:R:3 comment="ZrCrCuS4, optimized geometry, DFT PBE" raw_formation_energy_ev_per_atom=-0.91 n_ef_per_ev_atom=0.0569 m_tot_mub_per_fu=2.98 final_energy_ev_per_atom=-6.45 de_polymorph_kj_per_mol_atoms=6.1 pbc="T T T"
Zr 0.000 0.000 0.000
Cr -0.120 1.788 3.039
Cu 2.843 1.788 3.039
S 1.264 0.000 3.998
S 1.432 1.788 1.146
S 4.254 1.788 4.933
S 4.422 0.000 2.081


28
Lattice="6.577 0.000 0.000 0.159 7.317 0.000 0.940 2.430 12.969" Properties=species:S:1:pos:R:3 comment="ZrCrCuS4, optimized geometry, DFT PBE" raw_formation_energy_ev_per_atom=-0.75 n_ef_per_ev_atom=0.3333 m_tot_mub_per_fu=3.00 final_energy_ev_per_atom=-6.29 de_polymorph_kj_per_mol_atoms=21.4 pbc="T T T"
Zr 1.185 1.880 2.820
Zr 2.194 3.921 6.443
Zr 5.483 5.826 6.526
Zr 6.491 7.867 10.149
Cr 3.216 6.031 10.174
Cr 3.162 2.446 10.404
Cr 4.515 7.301 2.566
Cr 4.461 3.716 2.795
Cu 1.119 5.457 2.660
Cu 2.591 7.026 5.834
Cu 5.086 2.721 7.135
Cu 6.558 4.290 10.310
S 0.990 5.573 4.971
S 1.400 1.795 5.251
S 2.120 4.267 11.077
S 2.212 7.893 11.146
S 2.365 7.228 1.815
S 2.363 3.731 1.806
S 3.109 2.310 8.227
S 3.234 5.919 7.820
S 4.443 3.828 5.150
S 4.568 7.437 4.742
S 5.314 6.016 11.164
S 5.311 2.519 11.154
S 5.465 1.854 1.823
S 5.557 5.480 1.892
S 6.277 7.952 7.718
S 6.687 4.174 7.999


28
Lattice="7.128 0.000 0.000 0.000 12.472 0.000 0.000 0.000 6.086" Properties=species:S:1:pos:R:3 comment="ZrCrCuS4, optimized geometry, DFT PBE" raw_formation_energy_ev_per_atom=-0.82 n_ef_per_ev_atom=0.1029 m_tot_mub_per_fu=2.99 final_energy_ev_per_atom=-6.36 de_polymorph_kj_per_mol_atoms=14.5 pbc="T T T"
Zr 0.000 0.000 0.000
Zr 0.000 6.236 0.000
Zr 3.564 0.000 0.000
Zr 3.564 6.236 0.000
Cr 1.782 0.046 3.027
Cr 1.782 6.190 3.027
Cr 5.346 6.282 3.059
Cr 5.346 12.426 3.059
Cu 1.782 3.118 5.440
Cu 1.782 9.354 3.205
Cu 5.346 3.118 2.881
Cu 5.346 9.354 0.645
S 0.003 1.433 3.948
S 0.003 4.803 3.948
S 7.125 7.669 2.138
S 7.125 11.039 2.138
S 1.782 1.479 1.051
S 1.782 4.757 1.051
S 1.782 7.673 4.940
S 1.782 11.035 4.940
S 3.561 1.433 3.948
S 3.561 4.803 3.948
S 3.567 7.669 2.138
S 3.567 11.039 2.138
S 5.346 1.437 1.146
S 5.346 4.799 1.146
S 5.346 7.715 5.035
S 5.346 10.993 5.035


28
Lattice="3.602 0.000 0.000 0.000 12.264 0.000 0.000 0.000 12.818" Properties=species:S:1:pos:R:3 comment="ZrCrCuS4, optimized geometry, DFT PBE" raw_formation_energy_ev_per_atom=-0.83 n_ef_per_ev_atom=0.0612 m_tot_mub_per_fu=3.00 final_energy_ev_per_atom=-6.37 de_polymorph_kj_per_mol_atoms=13.2 pbc="T T T"
Zr 0.000 1.285 0.000
Zr 0.000 8.456 2.490
Zr 1.801 3.808 8.900
Zr 1.801 10.980 6.409
Cr 0.000 2.752 6.108
Cr 0.000 8.979 8.658
Cr 1.801 3.286 2.249
Cr 1.801 9.512 12.517
Cu 0.000 5.630 3.466
Cu 0.000 11.788 2.666
Cu 1.801 0.476 9.075
Cu 1.801 6.635 9.875
S 0.000 2.091 8.354
S 0.000 3.447 3.803
S 0.000 3.732 0.725
S 0.000 5.317 9.924
S 0.000 7.878 0.124
S 0.000 10.527 4.672
S 0.000 11.059 12.135
S 0.000 11.274 8.385
S 1.801 0.991 1.976
S 1.801 1.205 5.726
S 1.801 1.737 11.081
S 1.801 4.386 6.533
S 1.801 6.947 3.515
S 1.801 8.533 7.135
S 1.801 8.817 10.212
S 1.801 10.173 1.945